## SrAcSe2 (GGA-PBE)

Data for a geometry-optimized SrAcSe2 structure.

Unit cell a=8.175 b=8.175 c=8.175 alpha=30.79 beta=30.79 gamma=30.79
Positions (direct):
Sr  0.000  0.000  0.000
Ac  0.174  0.174  0.174
Se  0.588  0.588  0.588
Se  0.755  0.755  0.755

Total DFT energy (no corrections) in eV per atom: -5.0361
Space-group type: R3m (160)
Fermi-level density of states in states/eV/cell: 2.3

## Mn2ReRu (GGA-PBE)

Data for a geometry-optimized Mn2ReRu structure.

Unit cell a=4.234 b=4.234 c=4.234 alpha=60.00 beta=60.00 gamma=60.00
Positions (direct):
Mn  0.000  0.000  0.000
Mn  0.250  0.250  0.250
Re  0.750  0.750  0.750
Ru  0.500  0.500  0.500

Total DFT energy (no corrections) in eV per atom: -9.8605
Formation energy in eV per atom: 0.155
Space-group type: F-43m (216)
Fermi-level density of states in states/eV/cell: 3.0

## LaCr2Re (GGA-PBE)

Data for a geometry-optimized LaCr2Re structure.

Unit cell a=2.817 b=2.817 c=9.081 alpha=90.00 beta=90.00 gamma=112.80
Positions (direct):
La  0.000  0.000  0.000
Cr  0.500  0.500  0.288
Cr  0.500  0.500  0.712
Re  0.000  0.000  0.500

Total DFT energy (no corrections) in eV per atom: -8.4984
Formation energy in eV per atom: 0.657
Space-group type: Cmmm (65)
Fermi-level density of states in states/eV/cell: 4.6

## Tb3In5 (GGA-PBE)

Data for a geometry-optimized Tb3In5 structure.

Unit cell a=6.409 b=6.409 c=10.407 alpha=90.00 beta=90.00 gamma=78.48
Positions (direct):
Tb  0.119  0.881  0.750
Tb  0.295  0.295  0.000
Tb  0.295  0.295  0.500
Tb  0.705  0.705  0.000
Tb  0.705  0.705  0.500
Tb  0.881  0.119  0.250
In  0.007  0.428  0.750
In  0.193  0.807  0.044
In  0.193  0.807  0.456
In  0.428  0.007  0.250
In  0.496  0.504  0.250
In  0.504  0.496  0.750
In  0.572  0.993  0.750
In  0.807  0.193  0.544
In  0.807  0.193  0.956
In  0.993  0.572  0.250

Total DFT energy (no corrections) in eV per atom: -3.9233
Formation energy in eV per atom: -0.475
Space-group type: Cmcm (63)
Fermi-level density of states in states/eV/cell: 9.0